Here is a relaxed structure of Nb3Os2Ru2 from Alexandria. Energies are from PBE.

Lattice parameters (Å, degrees): 4.404 4.395 7.648 90.15 106.54 119.95
Positions (direct):
Nb: 0.000 0.000 0.000
Nb: 0.487 0.243 0.729
Nb: 0.513 0.757 0.271
Os: 0.244 0.123 0.368
Os: 0.756 0.877 0.632
Ru: 0.747 0.374 0.120
Ru: 0.253 0.626 0.880

Summary:
VASP energy   -10.14 eV/atom
SG   P-1
V   17.3 Å³/atom

=====

Here is a relaxed structure of Nb5Os6Ru from Alexandria. Energies are from PBE.

Lattice parameters (Å, degrees): 4.256 7.589 7.589 113.83 106.28 106.28
Positions (direct):
Ru: 0.000 0.000 0.000
Nb: 0.500 0.140 0.860
Nb: 0.000 0.315 0.685
Nb: 0.500 0.500 0.500
Nb: 0.000 0.685 0.315
Nb: 0.500 0.860 0.140
Os: 0.266 0.100 0.433
Os: 0.734 0.567 0.900
Os: 0.780 0.280 0.280
Os: 0.220 0.720 0.720
Os: 0.266 0.433 0.100
Os: 0.734 0.900 0.567

Summary:
VASP energy   -10.71 eV/atom
SG   Immm
V   16.0 Å³/atom

=====

Here is a relaxed structure of Nb6OsRu from Alexandria. Energies are from PBE.

Lattice parameters (Å, degrees): 4.579 5.616 5.616 109.57 90.00 90.00
Positions (direct):
Nb: 0.500 0.125 0.375
Nb: 0.500 0.625 0.875
Nb: 0.000 0.376 0.126
Nb: 0.000 0.874 0.624
Nb: 0.000 0.375 0.625
Nb: 0.000 0.875 0.125
Os: 0.500 0.625 0.375
Ru: 0.500 0.125 0.875

Summary:
VASP energy   -10.35 eV/atom
SG   Cmmm
V   17.0 Å³/atom

=====

Here is a relaxed structure of Nb6OsRu5 from Alexandria. Energies are from PBE.

Lattice parameters (Å, degrees): 4.350 6.783 7.711 116.09 106.38 90.00
Positions (direct):
Ru: 0.678 0.178 0.355
Ru: 0.341 0.341 0.683
Ru: 0.000 0.500 0.000
Ru: 0.659 0.659 0.317
Ru: 0.322 0.822 0.645
Nb: 0.834 0.588 0.669
Nb: 0.834 0.080 0.669
Nb: 0.500 0.757 0.000
Nb: 0.500 0.243 0.000
Nb: 0.166 0.920 0.331
Nb: 0.166 0.412 0.331
Os: 0.000 0.000 0.000

Summary:
VASP energy   -10.02 eV/atom
SG   Immm
V   16.2 Å³/atom

=====

Here is a relaxed structure of Nb2OsRu7 from Alexandria. Energies are from PBE.

Lattice parameters (Å, degrees): 2.760 8.907 8.908 50.42 90.00 90.00
Positions (direct):
Nb: 0.500 0.308 0.308
Nb: 0.500 0.692 0.692
Os: 0.000 0.000 0.000
Ru: 0.000 0.169 0.169
Ru: 0.000 0.831 0.831
Ru: 0.500 0.852 0.325
Ru: 0.500 0.148 0.675
Ru: 0.500 0.675 0.148
Ru: 0.500 0.325 0.852
Ru: 0.500 0.500 0.500

Summary:
VASP energy   -9.02 eV/atom
SG   Cmmm
V   16.9 Å³/atom

=====

Here is a relaxed structure of NbOsRu2 from Alexandria. Energies are from PBE.

Lattice parameters (Å, degrees): 4.435 4.435 4.435 60.00 60.00 60.00
Positions (direct):
Ru: 0.250 0.250 0.250
Ru: 0.750 0.750 0.750
Nb: 0.000 0.000 0.000
Os: 0.500 0.500 0.500

Summary:
VASP energy   -9.67 eV/atom
SG   Fm-3m
Energy above the lowest structure with this stoichiometry   401 meV/atom
V   15.4 Å³/atom

=====

Here is a relaxed structure of NbOsRu2 from Alexandria. Energies are from PBE.

Lattice parameters (Å, degrees): 4.374 4.374 4.503 60.94 60.94 60.00
Positions (direct):
Nb: 0.741 0.741 0.778
Os: 0.496 0.496 0.511
Ru: 0.016 0.016 0.951
Ru: 0.247 0.247 0.259

Summary:
VASP energy   -9.70 eV/atom
SG   R3m
Energy above the lowest structure with this stoichiometry   372 meV/atom
V   15.4 Å³/atom

=====

Here is a relaxed structure of Nb3Os2Ru from Alexandria. Energies are from PBE.

Lattice parameters (Å, degrees): 4.341 6.873 6.889 90.00 90.00 71.59
Positions (direct):
Nb: 0.834 0.332 0.750
Nb: 0.500 0.000 0.249
Nb: 0.166 0.668 0.250
Nb: 0.834 0.332 0.250
Nb: 0.166 0.668 0.750
Nb: 0.500 0.000 0.751
Os: 0.000 0.000 0.000
Os: 0.000 0.000 0.500
Os: 0.334 0.333 0.500
Os: 0.666 0.667 0.500
Ru: 0.332 0.337 0.000
Ru: 0.668 0.663 0.000

Summary:
VASP energy   -10.47 eV/atom
SG   Cmmm
Energy above the lowest structure with this stoichiometry   10 meV/atom
V   16.3 Å³/atom